1.
Compound: Ho2InGe2
Source: the Alexandria database
Functional: GGA-PBEsol
Structure: relaxed

a = 7.2447 Å, b = 7.2447 Å, c = 4.1166 Å
α = 90.00°, β = 90.00°, γ = 90.00°
Fractional positions:
Ho  0.1779  0.3221  0.0000
Ho  0.3221  0.8221  0.0000
Ho  0.6779  0.1779  0.0000
Ho  0.8221  0.6779  0.0000
In  0.0000  0.0000  0.5000
In  0.5000  0.5000  0.5000
Ge  0.1222  0.6222  0.5000
Ge  0.3778  0.1222  0.5000
Ge  0.6222  0.8778  0.5000
Ge  0.8778  0.3778  0.5000

## Properties
Calculated total energy (eV per cell): -53.11

2.
Compound: YMo2
Source: the Alexandria database
Functional: GGA-PBEsol
Structure: relaxed

a = 7.1146 Å, b = 7.1146 Å, c = 4.8280 Å
α = 90.00°, β = 90.00°, γ = 153.81°
Fractional positions:
Y  0.1588  0.8412  0.0000
Y  0.8412  0.1588  0.0000
Mo  0.0000  0.0000  0.5000
Mo  0.3321  0.6679  0.5000
Mo  0.5000  0.5000  0.0000
Mo  0.6679  0.3321  0.5000

## Properties
Calculated total energy (eV per cell): -57.64

3.
Compound: KHgB2Rh
Source: the Alexandria database
Functional: GGA-PBEsol
Structure: relaxed

a = 4.6017 Å, b = 4.6017 Å, c = 4.7555 Å
α = 90.00°, β = 90.00°, γ = 90.00°
Fractional positions:
K  0.0000  0.0000  0.0000
Hg  0.5000  0.5000  0.5000
B  0.0000  0.5000  0.0000
B  0.5000  0.0000  0.0000
Rh  0.0000  0.0000  0.5000

## Properties
Calculated total energy (eV per cell): -9.53

4.
Compound: LiCuNi
Source: the Alexandria database
Functional: GGA-PBEsol
Structure: relaxed

a = 4.2992 Å, b = 4.2992 Å, c = 2.4138 Å
α = 106.19°, β = 106.19°, γ = 51.24°
Fractional positions:
Li  0.0000  0.0000  0.0000
Cu  0.6725  0.6725  0.6727
Ni  0.3285  0.3285  0.3283

## Properties
Polymorph energy (0 for the lowest one) (meV/atom): 59

5.
Compound: TaBe2Se
Source: the Alexandria database
Functional: GGA-PBEsol
Structure: relaxed

a = 3.3178 Å, b = 3.3178 Å, c = 4.9023 Å
α = 90.00°, β = 90.00°, γ = 90.00°
Fractional positions:
Ta  0.0000  0.0000  0.0000
Be  0.5000  0.5000  0.2179
Be  0.5000  0.5000  0.7821
Se  0.0000  0.0000  0.5000

## Properties
E_form (uncorrected) (eV/atom): 0.09

6.
Compound: TaGaPd3
Source: the Alexandria database
Functional: GGA-PBEsol
Structure: relaxed

a = 4.4676 Å, b = 4.4676 Å, c = 4.4676 Å
α = 90.00°, β = 90.00°, γ = 90.00°
Fractional positions:
Ta  0.0000  0.0000  0.0000
Ga  0.5000  0.5000  0.5000
Pd  0.0000  0.5000  0.5000
Pd  0.5000  0.0000  0.5000
Pd  0.5000  0.5000  0.0000

## Properties
Calculated total energy (eV per cell): -30.56

7.
Compound: ZrTa2Ru
Source: the Alexandria database
Functional: GGA-PBEsol
Structure: relaxed

a = 3.2018 Å, b = 3.2018 Å, c = 6.7520 Å
α = 90.00°, β = 90.00°, γ = 90.00°
Fractional positions:
Zr  0.0000  0.0000  0.0000
Ta  0.0000  0.0000  0.4752
Ta  0.5000  0.5000  0.7281
Ru  0.5000  0.5000  0.2499

## Properties
Calculated total energy (eV per cell): -45.33

8.
Compound: K2SnCl6
Source: the Alexandria database
Functional: GGA-PBEsol
Structure: relaxed

a = 7.0155 Å, b = 7.0155 Å, c = 7.0155 Å
α = 60.00°, β = 60.00°, γ = 60.00°
Fractional positions:
K  0.2500  0.2500  0.2500
K  0.7500  0.7500  0.7500
Sn  0.0000  0.0000  0.0000
Cl  0.2458  0.2458  0.7542
Cl  0.2458  0.7542  0.2458
Cl  0.2458  0.7542  0.7542
Cl  0.7542  0.2458  0.2458
Cl  0.7542  0.2458  0.7542
Cl  0.7542  0.7542  0.2458

## Properties
Polymorph energy (0 for the lowest one) (meV/atom): 5
E_form (uncorrected) (eV/atom): -1.45

9.
Compound: ZrCrCl2
Source: the Alexandria database
Functional: GGA-PBEsol
Structure: relaxed

a = 3.2684 Å, b = 3.2684 Å, c = 7.3251 Å
α = 90.00°, β = 90.00°, γ = 90.00°
Fractional positions:
Zr  0.0000  0.0000  0.0000
Cr  0.5000  0.5000  0.7686
Cl  0.0000  0.0000  0.6136
Cl  0.5000  0.5000  0.2190

## Properties
E_form (uncorrected) (eV/atom): -0.57

10.
Compound: TaCoB
Source: the Alexandria database
Functional: GGA-PBEsol
Structure: relaxed

a = 3.2644 Å, b = 16.7873 Å, c = 5.8233 Å
α = 90.00°, β = 90.00°, γ = 90.00°
Fractional positions:
Ta  0.2500  0.0710  0.0276
Ta  0.2500  0.1251  0.5224
Ta  0.2500  0.2500  0.1450
Ta  0.2500  0.3749  0.5224
Ta  0.2500  0.4290  0.0276
Ta  0.7500  0.5710  0.9724
Ta  0.7500  0.6251  0.4776
Ta  0.7500  0.7500  0.8550
Ta  0.7500  0.8749  0.4776
Ta  0.7500  0.9290  0.9724
Co  0.2500  0.5242  0.6432
Co  0.2500  0.6788  0.1500
Co  0.2500  0.7500  0.5065
Co  0.2500  0.8212  0.1500
Co  0.2500  0.9758  0.6432
Co  0.7500  0.0242  0.3568
Co  0.7500  0.1788  0.8500
Co  0.7500  0.2500  0.4935
Co  0.7500  0.3212  0.8500
Co  0.7500  0.4758  0.3568
B  0.2500  0.2500  0.7328
B  0.2500  0.5477  0.2680
B  0.2500  0.6492  0.7704
B  0.2500  0.8508  0.7704
B  0.2500  0.9523  0.2680
B  0.7500  0.0477  0.7320
B  0.7500  0.1492  0.2296
B  0.7500  0.3508  0.2296
B  0.7500  0.4523  0.7320
B  0.7500  0.7500  0.2672

## Properties
Calculated total energy (eV per cell): -293.62

11.
Compound: ReNiP2
Source: the Alexandria database
Functional: GGA-PBEsol
Structure: relaxed

a = 4.8181 Å, b = 4.8181 Å, c = 4.8181 Å
α = 137.87°, β = 137.87°, γ = 61.10°
Fractional positions:
Re  0.0000  0.0000  0.0000
Ni  0.7500  0.2500  0.5000
P  0.2500  0.7500  0.5000
P  0.5000  0.5000  0.0000

## Properties
Polymorph energy (0 for the lowest one) (meV/atom): 411

12.
Compound: Al3BAs
Source: the Alexandria database
Functional: GGA-PBEsol
Structure: relaxed

a = 4.7537 Å, b = 4.7537 Å, c = 4.7537 Å
α = 90.00°, β = 90.00°, γ = 90.00°
Fractional positions:
Al  0.0000  0.0000  0.5000
Al  0.0000  0.5000  0.0000
Al  0.5000  0.0000  0.0000
B  0.5000  0.5000  0.5000
As  0.0000  0.0000  0.0000

## Properties
Calculated total energy (eV per cell): -17.13

no.,density (Mg/m³)
1,9.07
2,8.65
3,6.01
4,6.48
5,8.55
6,10.61
7,13.29
8,2.79
9,4.54
10,13.04
11,10.24
12,2.58